# 1
Entry from Alexandria via LeMat-Bulk: a relaxed PRuCS2 crystal (PBE).

Summary:
Offset from the most stable computed form ... 0 meV per atom
Raw total energy ... -5.227 eV per atom
Density of states at the Fermi level ... 2.4 states/eV per cell
Space group ... No. 123
Raw formation energy ... 6.0 eV/f.u.

Lattice parameters (Å, degrees): 4.046 4.046 3.860 90.00 90.00 90.00
Sites, in units of the cell vectors:
1 Ru 0.500 0.500 0.500
2 S 0.000 0.500 0.000
3 S 0.500 0.000 0.000
4 C 0.000 0.000 0.000
5 P 0.000 0.000 0.500

---

# 2
Entry from Alexandria via LeMat-Bulk: a relaxed Zr2ScTc2 crystal (PBE).

Summary:
Offset from the most stable computed form ... 0 meV per atom
Raw total energy ... -9.065 eV per atom
Energy of formation ... -232.9 meV per atom
Density of states at the Fermi level ... 11.5 states/eV per cell
Space group ... No. 11

Lattice parameters (Å, degrees): 3.346 4.840 11.808 90.00 98.34 90.00
Sites, in units of the cell vectors:
1 Zr 0.232 0.750 0.464
2 Zr 0.768 0.250 0.536
3 Zr 0.951 0.250 0.904
4 Zr 0.049 0.750 0.096
5 Tc 0.548 0.250 0.095
6 Tc 0.646 0.750 0.290
7 Tc 0.354 0.250 0.710
8 Tc 0.452 0.750 0.905
9 Sc 0.141 0.250 0.282
10 Sc 0.859 0.750 0.718